Density functional theory data (PBE) for Sc2Ta2Rh after structural relaxation.

a b c (Å): 7.6229 7.6229 7.6229
angles (deg): 151.60 151.60 40.60
Fractional coordinates of all 5 atoms:
Sc 0.2500 0.7500 0.5000
Sc 0.7500 0.2500 0.5000
Ta 0.0845 0.0845 0.0000
Ta 0.9155 0.9155 0.0000
Rh 0.5000 0.5000 0.0000

## Properties
DFT formation energy   751 meV per atom